Record 1
! DyNpTe2N PBE optimized geometry; values from VASP
! M_tot = 5.66 Bohr magnetons per cell
! Space-group type = No. 129
! Energy relative to the elements, uncorrected = -1.173 eV per atom
&SYSTEM
  ibrav = 0, nat = 10, ntyp = 4
/
ATOMIC_SPECIES
Np 237.00 Np.upf
Te 127.60 Te.upf
N 14.01 N.upf
Dy 162.50 Dy.upf
ATOMIC_POSITIONS crystal
Np 0.000 0.500 0.434
Te 0.500 0.000 0.918
Te 0.500 0.000 0.321
N 0.500 0.500 0.500
Dy 0.500 0.000 0.138
Dy 0.000 0.500 0.862
N 0.000 0.000 0.500
Te 0.000 0.500 0.082
Te 0.000 0.500 0.679
Np 0.500 0.000 0.566
CELL_PARAMETERS angstrom
-3.946 0.472 -0.789
-0.886 -2.877 2.711
-0.965 11.098 11.462

---

Record 2
! DyTh2NpN4 PBE optimized geometry; values from VASP
! M_tot = 3.09 Bohr magnetons per cell
! Space-group type = No. 10
! Energy relative to the elements, uncorrected = -1.454 eV per atom
&SYSTEM
  ibrav = 0, nat = 8, ntyp = 4
/
ATOMIC_SPECIES
N 14.01 N.upf
Np 237.00 Np.upf
Dy 162.50 Dy.upf
Th 232.04 Th.upf
ATOMIC_POSITIONS crystal
N 0.500 0.747 0.765
Np 0.500 0.500 0.000
Dy 0.000 0.000 0.000
N 0.000 0.261 0.771
Th 0.000 0.500 0.500
N 0.000 0.739 0.229
N 0.500 0.253 0.235
Th 0.500 0.000 0.500
CELL_PARAMETERS angstrom
3.557 0.000 0.000
0.000 6.142 0.110
0.000 -2.144 5.799

---

Record 3
! Dy2TmNpN4 PBE optimized geometry; values from VASP
! M_tot = 3.01 Bohr magnetons per cell
! Space-group type = No. 10
! Energy relative to the elements, uncorrected = -1.583 eV per atom
&SYSTEM
  ibrav = 0, nat = 8, ntyp = 4
/
ATOMIC_SPECIES
Np 237.00 Np.upf
Dy 162.50 Dy.upf
N 14.01 N.upf
Tm 168.93 Tm.upf
ATOMIC_POSITIONS crystal
Np 0.500 0.500 0.000
Dy 0.500 0.000 0.500
N 0.000 0.255 0.760
N 0.500 0.256 0.237
N 0.500 0.744 0.763
N 0.000 0.745 0.240
Tm 0.000 0.000 0.000
Dy 0.000 0.500 0.500
CELL_PARAMETERS angstrom
3.445 0.000 0.000
0.000 5.942 0.127
0.000 -2.055 5.584

---

Record 4
! Dy2NpUN4 PBE optimized geometry; values from VASP
! M_tot = 4.56 Bohr magnetons per cell
! Space-group type = No. 10
! Energy relative to the elements, uncorrected = -1.456 eV per atom
&SYSTEM
  ibrav = 0, nat = 8, ntyp = 4
/
ATOMIC_SPECIES
N 14.01 N.upf
Dy 162.50 Dy.upf
Np 237.00 Np.upf
U 238.03 U.upf
ATOMIC_POSITIONS crystal
N 0.000 0.249 0.762
N 0.500 0.759 0.762
N 0.000 0.751 0.238
Dy 0.500 0.000 0.500
Np 0.500 0.500 0.000
N 0.500 0.241 0.238
U 0.000 0.000 0.000
Dy 0.000 0.500 0.500
CELL_PARAMETERS angstrom
-2.240 2.595 0.344
-3.523 -2.496 -4.111
-1.537 -2.050 5.447

---

Record 5
! DyNpU2N4 PBE optimized geometry; values from VASP
! M_tot = 5.83 Bohr magnetons per cell
! Space-group type = No. 10
! Energy relative to the elements, uncorrected = -1.353 eV per atom
&SYSTEM
  ibrav = 0, nat = 8, ntyp = 4
/
ATOMIC_SPECIES
Dy 162.50 Dy.upf
N 14.01 N.upf
U 238.03 U.upf
Np 237.00 Np.upf
ATOMIC_POSITIONS crystal
Dy 0.500 0.500 0.000
N 0.500 0.256 0.259
U 0.000 0.500 0.500
N 0.500 0.744 0.741
N 0.000 0.752 0.263
N 0.000 0.248 0.737
Np 0.000 0.000 0.000
U 0.500 0.000 0.500
CELL_PARAMETERS angstrom
-1.968 1.145 -2.578
-4.590 -3.295 2.042
-0.152 5.399 2.515

---

Record 6
! Dy2NpVN5 PBE optimized geometry; values from VASP
! M_tot = 6.00 Bohr magnetons per cell
! Space-group type = No. 36
! Energy relative to the elements, uncorrected = -1.266 eV per atom
&SYSTEM
  ibrav = 0, nat = 18, ntyp = 4
/
ATOMIC_SPECIES
V 50.94 V.upf
N 14.01 N.upf
Dy 162.50 Dy.upf
Np 237.00 Np.upf
ATOMIC_POSITIONS crystal
V 0.484 0.969 0.460
N 0.717 0.433 0.156
N 0.626 0.252 0.506
N 0.374 0.748 0.006
Dy 0.137 0.274 0.302
N 0.283 0.567 0.656
V 0.516 0.031 0.960
N 0.683 0.366 0.879
N 0.957 0.914 0.539
N 0.043 0.086 0.039
N 0.509 0.017 0.285
Dy 0.105 0.210 0.686
Np 0.791 0.583 0.511
Np 0.209 0.417 0.011
Dy 0.895 0.790 0.186
N 0.317 0.634 0.379
Dy 0.863 0.726 0.802
N 0.491 0.983 0.785
CELL_PARAMETERS angstrom
3.411 0.000 0.000
-1.706 6.780 0.000
0.000 0.000 10.104

---

Record 7
! Dy3Y2NpN6 PBE optimized geometry; values from VASP
! M_tot = 2.70 Bohr magnetons per cell
! Space-group type = No. 12
! Energy relative to the elements, uncorrected = -1.611 eV per atom
&SYSTEM
  ibrav = 0, nat = 12, ntyp = 4
/
ATOMIC_SPECIES
Np 237.00 Np.upf
N 14.01 N.upf
Y 88.91 Y.upf
Dy 162.50 Dy.upf
ATOMIC_POSITIONS crystal
Np 0.000 0.000 0.000
N 0.081 0.400 0.243
N 0.763 0.763 0.240
Y 0.333 0.667 0.000
N 0.600 0.919 0.757
N 0.919 0.600 0.757
Dy 0.168 0.832 0.500
Dy 0.500 0.500 0.500
Y 0.667 0.333 0.000
Dy 0.832 0.168 0.500
N 0.400 0.081 0.243
N 0.237 0.237 0.760
CELL_PARAMETERS angstrom
5.996 -0.002 0.001
-2.999 5.193 0.001
-0.999 -1.729 5.646

---

Record 8
! Dy2Y3NpN6 PBE optimized geometry; values from VASP
! M_tot = 2.70 Bohr magnetons per cell
! Space-group type = No. 12
! Energy relative to the elements, uncorrected = -1.609 eV per atom
&SYSTEM
  ibrav = 0, nat = 12, ntyp = 4
/
ATOMIC_SPECIES
N 14.01 N.upf
Np 237.00 Np.upf
Y 88.91 Y.upf
Dy 162.50 Dy.upf
ATOMIC_POSITIONS crystal
N 0.762 0.762 0.238
Np 0.000 0.000 0.000
N 0.238 0.238 0.762
Y 0.168 0.832 0.500
Dy 0.333 0.667 0.000
Y 0.500 0.500 0.500
Dy 0.667 0.333 0.000
N 0.919 0.600 0.758
N 0.600 0.919 0.758
Y 0.832 0.168 0.500
N 0.081 0.400 0.242
N 0.400 0.081 0.242
CELL_PARAMETERS angstrom
5.998 -0.002 0.001
-2.999 5.194 0.001
-0.999 -1.729 5.649

---

Record 9
! DyY2NpN4 PBE optimized geometry; values from VASP
! M_tot = 3.06 Bohr magnetons per cell
! Space-group type = No. 10
! Energy relative to the elements, uncorrected = -1.549 eV per atom
&SYSTEM
  ibrav = 0, nat = 8, ntyp = 4
/
ATOMIC_SPECIES
N 14.01 N.upf
Y 88.91 Y.upf
Np 237.00 Np.upf
Dy 162.50 Dy.upf
ATOMIC_POSITIONS crystal
N 0.000 0.258 0.758
Y 0.000 0.500 0.500
Y 0.500 0.000 0.500
N 0.500 0.740 0.761
Np 0.500 0.500 0.000
N 0.000 0.742 0.242
N 0.500 0.260 0.239
Dy 0.000 0.000 0.000
CELL_PARAMETERS angstrom
3.466 0.000 0.000
0.000 5.982 0.128
0.000 -2.069 5.616

---

Record 10
! DyZrNp2N4 PBE optimized geometry; values from VASP
! M_tot = 6.07 Bohr magnetons per cell
! Space-group type = No. 10
! Energy relative to the elements, uncorrected = -1.409 eV per atom
&SYSTEM
  ibrav = 0, nat = 8, ntyp = 4
/
ATOMIC_SPECIES
Np 237.00 Np.upf
Zr 91.22 Zr.upf
N 14.01 N.upf
Dy 162.50 Dy.upf
ATOMIC_POSITIONS crystal
Np 0.500 0.000 0.500
Np 0.000 0.500 0.500
Zr 0.000 0.000 0.000
N 0.500 0.239 0.246
N 0.000 0.762 0.253
N 0.000 0.238 0.747
Dy 0.500 0.500 0.000
N 0.500 0.761 0.754
CELL_PARAMETERS angstrom
-0.182 -3.255 0.934
1.949 1.432 5.369
-5.897 0.305 -0.087

---

Record 11
! Dy2NO PBE optimized geometry; values from VASP
! M_tot = 1.81 Bohr magnetons per cell
! Space-group type = No. 31
! Energy relative to the elements, uncorrected = -2.103 eV per atom
! E above lowest polymorph = 264.5 meV per atom
&SYSTEM
  ibrav = 0, nat = 8, ntyp = 3
/
ATOMIC_SPECIES
N 14.01 N.upf
Dy 162.50 Dy.upf
O 16.00 O.upf
ATOMIC_POSITIONS crystal
N 0.201 0.869 0.728
Dy 0.201 0.088 0.989
Dy 0.701 0.588 0.227
Dy 0.701 0.624 0.735
N 0.701 0.369 0.488
O 0.701 0.351 0.973
Dy 0.201 0.124 0.481
O 0.201 0.851 0.243
CELL_PARAMETERS angstrom
-0.277 -3.675 0.478
2.253 -0.789 -4.753
6.745 -0.091 3.212

---

Record 12
! Dy2NO PBE optimized geometry; values from VASP
! M_tot = 0.00 Bohr magnetons per cell
! Space-group type = No. 15
! Energy relative to the elements, uncorrected = -2.364 eV per atom
! E above lowest polymorph = 3.7 meV per atom
&SYSTEM
  ibrav = 0, nat = 16, ntyp = 3
/
ATOMIC_SPECIES
N 14.01 N.upf
Dy 162.50 Dy.upf
O 16.00 O.upf
ATOMIC_POSITIONS crystal
N 0.813 0.063 0.126
Dy 0.058 0.817 0.125
Dy 0.823 0.564 0.625
N 0.062 0.312 0.624
Dy 0.698 0.939 0.375
Dy 0.177 0.436 0.375
Dy 0.302 0.061 0.625
O 0.311 0.561 0.122
Dy 0.567 0.308 0.125
N 0.187 0.937 0.874
O 0.436 0.186 0.372
O 0.564 0.814 0.628
Dy 0.433 0.692 0.875
N 0.938 0.688 0.376
Dy 0.942 0.183 0.875
O 0.689 0.439 0.878
CELL_PARAMETERS angstrom
0.821 -0.774 -5.848
5.270 0.045 2.760
-3.431 -6.455 2.392